9
Lattice="5.459 -0.051 0.632 0.739 5.525 1.698 0.209 -0.035 5.823" Properties=species:S:1:pos:R:3 comment="ThSb2Pd6 (PBE, relaxed)" sg=C2/m crystal_system=monoclinic e_above_lowest_polymorph_mev_per_atom=0.0 e_form_raw_ev_per_atom=-0.5091 pbc="T T T"
Th 0.000 0.000 0.000
Sb 1.672 3.304 4.669
Sb 4.736 2.135 3.485
Pd 1.445 0.432 3.151
Pd 4.963 5.007 5.003
Pd 4.747 2.739 6.685
Pd 3.365 4.416 2.818
Pd 3.042 1.023 5.335
Pd 1.660 2.700 1.469

***

16
Lattice="-3.726 -1.164 1.549 1.563 0.182 3.894 -4.527 15.923 1.074" Properties=species:S:1:pos:R:3 comment="Th3SbPd12 (PBE, relaxed)" sg=P4/mmm crystal_system=tetragonal e_form_raw_ev_per_atom=-0.7943 pbc="T T T"
Th -1.097 3.858 0.260
Th -2.264 7.961 0.537
Th -3.430 12.065 0.814
Sb 0.000 0.000 0.000
Pd -1.082 -0.491 2.722
Pd -2.203 3.452 2.988
Pd -3.345 7.470 3.259
Pd -4.488 11.488 3.530
Pd -2.411 1.344 0.905
Pd -3.554 5.364 1.176
Pd -4.700 9.395 1.448
Pd -5.843 13.415 1.719
Pd 0.234 2.016 2.077
Pd -0.909 6.037 2.348
Pd -2.055 10.067 2.620
Pd -3.198 14.088 2.892

***

8
Lattice="-4.070 -0.270 -1.470 -0.526 -6.274 -3.785 -2.484 -6.699 1.712" Properties=species:S:1:pos:R:3 comment="ThSb2Pd5 (PBE, relaxed)" sg=Immm crystal_system=orthorhombic e_form_raw_ev_per_atom=-0.6089 pbc="T T T"
Th 0.000 0.000 0.000
Sb -5.348 -9.472 -2.636
Sb -1.732 -3.771 -0.908
Pd -1.505 -6.486 -1.037
Pd -3.185 -5.079 -3.038
Pd -3.895 -8.163 -0.505
Pd -2.945 -7.957 -3.174
Pd -4.135 -5.285 -0.369